The following is a GGA-PBE calculation of an optimized crystal structure of Sr6Bi2Te3Br, from the Alexandria database.

It has space group C2/m (No. 12), with a = 20.981 Å, b = 4.581 Å, c = 9.892 Å, α = 90.00°, β = 103.95° and γ = 90.00°. The distinct sites, in fractional coordinates, are Sr at (0.002, 0.000, 0.260), Sr at (0.167, 0.500, 0.588), Sr at (0.171, 0.500, 0.082), Bi at (0.165, 0.000, 0.329), Te at (0.000, 0.500, 0.500), Te at (0.161, 0.000, 0.836) and Br at (0.000, 0.500, 0.000).

For the total energy, the calculation gives -3.829 eV per atom. As for the uncorrected formation energy: -1417 meV per atom. For the calculated density, the calculation gives 5.062 g/cm3.